No. 1
First-principles (PBE) data for crystalline GdAgTe3Pb at its relaxed geometry, as listed in the Open Quantum Materials Database.

Properties
- Polymorph energy (0 for the lowest one): 55 meV per atom
- Symmetry: Pnma, No. 62
- Magnetization: 0.0 μB/cell

POSCAR file:
```
GdAgTe3Pb
1.0
12.485 0.000 0.000
0.000 4.549 0.000
0.000 0.000 12.743
Gd Ag Te Pb
4 4 12 4
Direct
0.026 0.250 0.189
0.474 0.750 0.689
0.526 0.250 0.311
0.974 0.750 0.811
0.237 0.750 0.293
0.263 0.250 0.793
0.737 0.750 0.207
0.763 0.250 0.707
0.027 0.750 0.366
0.092 0.250 0.938
0.219 0.750 0.672
0.281 0.250 0.172
0.408 0.750 0.438
0.473 0.250 0.866
0.527 0.750 0.134
0.592 0.250 0.562
0.719 0.750 0.828
0.781 0.250 0.328
0.908 0.750 0.062
0.973 0.250 0.634
0.192 0.250 0.481
0.308 0.750 0.981
0.692 0.250 0.019
0.808 0.750 0.519
```

No. 2
First-principles (PBE) data for crystalline MgHgAsHO5 at its relaxed geometry, as listed in the Open Quantum Materials Database.

Properties
- Symmetry: Pnma, No. 62

POSCAR file:
```
MgHgAsHO5
1.0
7.641 0.000 0.000
0.000 6.200 0.000
0.000 0.000 8.683
Mg Hg As H O
4 4 4 4 20
Direct
0.000 0.000 0.000
0.000 0.500 0.000
0.500 0.000 0.500
0.500 0.500 0.500
0.114 0.250 0.326
0.386 0.750 0.826
0.614 0.250 0.174
0.886 0.750 0.674
0.147 0.250 0.684
0.353 0.750 0.184
0.647 0.250 0.816
0.853 0.750 0.316
0.233 0.750 0.544
0.267 0.250 0.044
0.733 0.750 0.956
0.767 0.250 0.456
0.018 0.750 0.455
0.132 0.019 0.791
0.132 0.481 0.791
0.144 0.250 0.078
0.163 0.750 0.077
0.337 0.250 0.577
0.356 0.750 0.578
0.368 0.519 0.291
0.368 0.981 0.291
0.482 0.250 0.955
0.518 0.750 0.045
0.632 0.019 0.709
0.632 0.481 0.709
0.644 0.250 0.422
0.663 0.750 0.423
0.837 0.250 0.923
0.856 0.750 0.922
0.868 0.519 0.209
0.868 0.981 0.209
0.982 0.250 0.545
```

No. 3
First-principles (PBE) data for crystalline Zr2AlN at its relaxed geometry, as listed in the Open Quantum Materials Database.

Properties
- Symmetry: C2/c, No. 15
- Magnetization: 0.0 μB/cell

POSCAR file:
```
Zr2AlN
1.0
4.883 -2.821 0.000
4.883 2.821 0.000
-3.252 0.000 14.375
Zr Al N
12 6 6
Direct
0.029 0.864 0.589
0.136 0.971 0.911
0.197 0.363 0.089
0.304 0.470 0.411
0.363 0.197 0.589
0.470 0.304 0.911
0.530 0.696 0.089
0.637 0.803 0.411
0.696 0.530 0.589
0.803 0.637 0.911
0.864 0.029 0.089
0.971 0.136 0.411
0.082 0.253 0.750
0.253 0.082 0.250
0.416 0.584 0.750
0.584 0.416 0.250
0.747 0.918 0.750
0.918 0.747 0.250
0.000 0.500 0.500
0.167 0.667 0.000
0.333 0.833 0.500
0.500 0.000 0.000
0.667 0.167 0.500
0.833 0.333 0.000
```

No. 4
First-principles (PBE) data for crystalline KGaNiSe3 at its relaxed geometry, as listed in the Open Quantum Materials Database.

Properties
- Symmetry: Cmcm, No. 63
- Magnetization: 0.1 μB/cell

POSCAR file:
```
KGaNiSe3
1.0
1.984 -6.777 0.000
1.984 6.777 0.000
0.000 0.000 10.918
K Ga Ni Se
2 2 2 6
Direct
0.225 0.775 0.750
0.775 0.225 0.250
0.500 0.500 0.000
0.500 0.500 0.500
0.074 0.926 0.250
0.926 0.074 0.750
0.125 0.875 0.047
0.125 0.875 0.453
0.487 0.513 0.250
0.513 0.487 0.750
0.875 0.125 0.547
0.875 0.125 0.953
```

Which VASP energy belongs to each record? In order, -4.118 -5.250 -8.371 -3.887 eV/atom.